The following is a PBE calculation of Be2CdB after structural relaxation, from OQMD.

a = 4.052 Å, b = 4.052 Å, c = 4.052 Å
α = 60.00°, β = 60.00°, γ = 60.00°
Fractional coordinates of all 4 atoms:
Be 0.000 0.000 0.000
Be 0.250 0.250 0.250
Cd 0.500 0.500 0.500
B 0.750 0.750 0.750

Results
Final energy = -2.66 eV/atom